#A
{"formula": "SmTh2Zn", "functional": "PBE-GGA", "state": "relaxed", "spacegroup": "Fm-3m", "dos_ef_per_ev_cell": 5.77, "rho_g_cm3": 10.0, "lattice": [[5.433, 0.000, 0.000], [2.716, 4.705, 0.000], [2.716, 1.568, 4.436]], "species": ["Th", "Zn", "Th", "Sm"], "fractional_positions": [[0.750, 0.750, 0.750], [0.500, 0.500, 0.500], [0.250, 0.250, 0.250], [0.000, 0.000, 0.000]]}


#B
{"formula": "SmTh2Zn", "functional": "PBE-GGA", "state": "relaxed", "spacegroup": "P4/mmm", "dos_ef_per_ev_cell": 4.34, "rho_g_cm3": 9.7, "lattice": [[-0.327, -0.020, -3.637], [3.482, -1.055, -0.307], [-2.514, -8.376, 0.273]], "species": ["Th", "Sm", "Zn", "Th"], "fractional_positions": [[0.000, 0.000, 0.207], [0.500, 0.500, 0.500], [0.500, 0.500, 0.000], [0.000, 0.000, 0.793]]}


Sorted by energy, starting with the most stable: #B, #A.